The following is a DFT calculation (GGA+U) of a geometry-optimized Mn4Br3O2 structure.

The space group is C2/c (No. 15) and the conventional cell measures 11.699, 11.386 and 5.902 Å, with angles of 90.00, 93.71 and 90.00 degrees. The inequivalent atoms are Mn at (0.120, 0.235, 0.000), Mn at (0.225, 0.498, 0.703), Br at (0.000, 0.410, 0.250), Br at (0.098, 0.150, 0.534) and O at (0.236, 0.375, 0.955).

As for the crystal system: monoclinic. The total energy comes out at -214.7 eV/cell. Its total magnetization is 19.363 μB per formula unit.